VASP calculation (PBE) on a geometry-optimized NdFeSiGe2 structure.

Magnetic moment = 0.01 Bohr magnetons per cell
Crystal system = tetragonal
E_tot = -6.05 eV/atom
Calculated volume = 18.00 A^3/atom

a b c (Å): 5.772 5.772 5.772
angles (deg): 136.48 136.48 63.23
Sites, in units of the cell vectors:
Nd 0.000 0.000 0.000
Fe 0.340 0.340 0.000
Si 0.563 0.563 0.000
Ge 0.242 0.742 0.500
Ge 0.742 0.242 0.500

VASP calculation (PBE) on a geometry-optimized TbDyNi structure.

ΔE_f = -23.5 kJ per mole of atoms
Magnetic moment = 0.00 Bohr magnetons per cell
Crystal system = orthorhombic
Calculated volume = 23.02 A^3/atom
Offset from the most stable computed form = 0 meV/atom

a b c (Å): 4.642 7.177 7.177
angles (deg): 119.93 90.00 90.00
Sites, in units of the cell vectors:
Tb 0.000 0.000 0.000
Tb 0.000 0.191 0.596
Tb 0.000 0.596 0.191
Dy 0.500 0.330 0.330
Dy 0.500 0.595 0.861
Dy 0.500 0.861 0.595
Ni 0.000 0.595 0.595
Ni 0.500 0.262 0.929
Ni 0.500 0.929 0.262

VASP calculation (PBE) on a geometry-optimized InTe3PbAu structure.

Crystal system = orthorhombic
Calculated volume = 29.73 A^3/atom
Offset from the most stable computed form = 0 meV/atom

a b c (Å): 7.156 7.156 12.109
angles (deg): 90.00 90.00 144.87
Sites, in units of the cell vectors:
In 0.000 0.000 0.000
In 0.000 0.000 0.500
Te 0.078 0.922 0.750
Te 0.353 0.647 0.543
Te 0.353 0.647 0.957
Te 0.647 0.353 0.043
Te 0.647 0.353 0.457
Te 0.922 0.078 0.250
Pb 0.245 0.755 0.250
Pb 0.755 0.245 0.750
Au 0.430 0.570 0.750
Au 0.570 0.430 0.250

VASP calculation (PBE) on a geometry-optimized SrHfSb structure.

Magnetic moment = 1.87 Bohr magnetons per cell
Crystal system = cubic
Calculated volume = 31.48 A^3/atom
Offset from the most stable computed form = 0 meV/atom

a b c (Å): 5.112 5.112 5.112
angles (deg): 60.00 60.00 60.00
Sites, in units of the cell vectors:
Sr 0.000 0.000 0.000
Hf 0.500 0.500 0.500
Sb 0.750 0.750 0.750

VASP calculation (PBE) on a geometry-optimized K2CuSnBr6 structure.

Crystal system = cubic
E_tot = -3.01 eV/atom
Calculated volume = 31.90 A^3/atom

a b c (Å): 7.670 7.670 7.670
angles (deg): 60.00 60.00 60.00
Sites, in units of the cell vectors:
K 0.250 0.250 0.250
K 0.750 0.750 0.750
Cu 0.000 0.000 0.000
Sn 0.500 0.500 0.500
Br 0.241 0.241 0.759
Br 0.241 0.759 0.241
Br 0.241 0.759 0.759
Br 0.759 0.241 0.241
Br 0.759 0.241 0.759
Br 0.759 0.759 0.241

VASP calculation (PBE) on a geometry-optimized LiPr structure.

Magnetic moment = 1.87 Bohr magnetons per cell
Crystal system = cubic
Calculated volume = 35.96 A^3/atom
Offset from the most stable computed form = 1004 meV/atom

a b c (Å): 4.668 4.668 4.668
angles (deg): 60.00 60.00 60.00
Sites, in units of the cell vectors:
Li 0.000 0.000 0.000
Pr 0.750 0.750 0.750

VASP calculation (PBE) on a geometry-optimized NiGeTe2 structure.

Magnetic moment = 0.01 Bohr magnetons per cell
Crystal system = cubic
E_tot = -3.55 eV/atom
Calculated volume = 21.75 A^3/atom

a b c (Å): 4.973 4.973 4.973
angles (deg): 60.00 60.00 60.00
Sites, in units of the cell vectors:
Ni 0.000 0.000 0.000
Ge 0.250 0.250 0.250
Te 0.500 0.500 0.500
Te 0.750 0.750 0.750

VASP calculation (PBE) on a geometry-optimized FeNiP structure.

Magnetic moment = 8.60 Bohr magnetons per cell
Crystal system = hexagonal
E_tot = -6.55 eV/atom
Calculated volume = 11.81 A^3/atom

a b c (Å): 6.174 6.174 3.219
angles (deg): 90.00 90.00 120.00
Sites, in units of the cell vectors:
Fe 0.000 0.612 0.000
Fe 0.388 0.388 0.000
Fe 0.612 0.000 0.000
Ni 0.000 0.000 0.000
Ni 0.333 0.667 0.500
Ni 0.667 0.333 0.500
P 0.000 0.290 0.500
P 0.290 0.000 0.500
P 0.710 0.710 0.500

VASP calculation (PBE) on a geometry-optimized Lu4InAsN2 structure.

Magnetic moment = 0.01 Bohr magnetons per cell
Crystal system = hexagonal
E_tot = -6.51 eV/atom
Calculated volume = 18.53 A^3/atom

a b c (Å): 3.482 3.482 14.122
angles (deg): 90.00 90.00 120.00
Sites, in units of the cell vectors:
Lu 0.000 0.000 0.140
Lu 0.000 0.000 0.860
Lu 0.333 0.667 0.322
Lu 0.333 0.667 0.678
In 0.000 0.000 0.500
As 0.333 0.667 0.000
N 0.667 0.333 0.232
N 0.667 0.333 0.768

VASP calculation (PBE) on a geometry-optimized BeZnCdNi structure.

Magnetic moment = 0.00 Bohr magnetons per cell
Crystal system = cubic
E_tot = -2.76 eV/atom
Calculated volume = 13.29 A^3/atom

a b c (Å): 4.220 4.220 4.220
angles (deg): 60.00 60.00 60.00
Sites, in units of the cell vectors:
Be 0.000 0.000 0.000
Zn 0.250 0.250 0.250
Cd 0.750 0.750 0.750
Ni 0.500 0.500 0.500

VASP calculation (PBE) on a geometry-optimized YErTe structure.

Magnetic moment = 0.96 Bohr magnetons per cell
Crystal system = cubic
E_tot = -5.18 eV/atom
Calculated volume = 30.23 A^3/atom

a b c (Å): 5.043 5.043 5.043
angles (deg): 60.00 60.00 60.00
Sites, in units of the cell vectors:
Y 0.000 0.000 0.000
Er 0.500 0.500 0.500
Te 0.750 0.750 0.750

VASP calculation (PBE) on a geometry-optimized ErLuFe structure.

ΔE_f = 16.2 kJ per mole of atoms
Magnetic moment = 0.08 Bohr magnetons per cell
Crystal system = cubic
Calculated volume = 23.05 A^3/atom
Offset from the most stable computed form = 0 meV/atom

a b c (Å): 4.607 4.607 4.607
angles (deg): 60.00 60.00 60.00
Sites, in units of the cell vectors:
Er 0.000 0.000 0.000
Lu 0.500 0.500 0.500
Fe 0.250 0.250 0.250

VASP calculation (PBE) on a geometry-optimized Na4Ag2GePb structure.

Crystal system = tetragonal
E_tot = -2.48 eV/atom
Calculated volume = 22.49 A^3/atom

a b c (Å): 4.957 4.957 7.322
angles (deg): 90.00 90.00 90.00
Sites, in units of the cell vectors:
Na 0.000 0.000 0.000
Na 0.000 0.500 0.230
Na 0.500 0.000 0.770
Na 0.500 0.500 0.500
Ag 0.000 0.500 0.771
Ag 0.500 0.000 0.229
Ge 0.500 0.500 0.000
Pb 0.000 0.000 0.500

VASP calculation (PBE) on a geometry-optimized Lu3HfSn2C2 structure.

Magnetic moment = 0.00 Bohr magnetons per cell
Crystal system = trigonal
E_tot = -6.91 eV/atom
Calculated volume = 19.85 A^3/atom

a b c (Å): 3.474 3.474 15.193
angles (deg): 90.00 90.00 120.00
Sites, in units of the cell vectors:
Lu 0.000 0.000 0.000
Lu 0.000 0.000 0.335
Lu 0.667 0.333 0.829
Hf 0.667 0.333 0.500
Sn 0.000 0.000 0.658
Sn 0.667 0.333 0.169
C 0.333 0.667 0.426
C 0.333 0.667 0.914

VASP calculation (PBE) on a geometry-optimized YHoInTe3 structure.

Magnetic moment = 0.07 Bohr magnetons per cell
Crystal system = orthorhombic
Calculated volume = 32.86 A^3/atom
Offset from the most stable computed form = 0 meV/atom

a b c (Å): 7.877 7.877 12.018
angles (deg): 90.00 90.00 148.08
Sites, in units of the cell vectors:
Y 0.000 0.000 0.000
Y 0.000 0.000 0.500
Ho 0.421 0.579 0.750
Ho 0.579 0.421 0.250
In 0.256 0.744 0.250
In 0.744 0.256 0.750
Te 0.060 0.940 0.750
Te 0.354 0.646 0.521
Te 0.354 0.646 0.979
Te 0.646 0.354 0.021
Te 0.646 0.354 0.479
Te 0.940 0.060 0.250

VASP calculation (PBE) on a geometry-optimized Zn13Co structure.

ΔE_f = -5.3 kJ per mole of atoms
Magnetic moment = 0.00 Bohr magnetons per cell
Crystal system = monoclinic
Calculated volume = 14.26 A^3/atom

a b c (Å): 6.565 6.565 5.033
angles (deg): 98.93 98.93 69.56
Sites, in units of the cell vectors:
Zn 0.000 0.000 0.000
Zn 0.002 0.645 0.199
Zn 0.219 0.219 0.366
Zn 0.220 0.625 0.679
Zn 0.355 0.998 0.801
Zn 0.375 0.780 0.321
Zn 0.388 0.388 0.072
Zn 0.612 0.612 0.928
Zn 0.625 0.220 0.679
Zn 0.645 0.002 0.199
Zn 0.780 0.375 0.321
Zn 0.781 0.781 0.634
Zn 0.998 0.355 0.801
Co 0.000 0.000 0.500

VASP calculation (PBE) on a geometry-optimized IrOF2 structure.

Magnetic moment = 0.43 Bohr magnetons per cell
Crystal system = monoclinic
Calculated volume = 12.30 A^3/atom
Offset from the most stable computed form = 92 meV/atom

a b c (Å): 4.767 4.767 3.248
angles (deg): 108.73 108.73 45.29
Sites, in units of the cell vectors:
Ir 0.000 0.000 0.000
O 0.500 0.500 0.000
F 0.152 0.152 0.644
F 0.848 0.848 0.356

VASP calculation (PBE) on a geometry-optimized LiGaSiNi structure.

Magnetic moment = 0.00 Bohr magnetons per cell
Crystal system = cubic
Calculated volume = 12.41 A^3/atom
Offset from the most stable computed form = 0 meV/atom

a b c (Å): 4.125 4.125 4.125
angles (deg): 60.00 60.00 60.00
Sites, in units of the cell vectors:
Li 0.000 0.000 0.000
Ga 0.750 0.750 0.750
Si 0.250 0.250 0.250
Ni 0.500 0.500 0.500

VASP calculation (PBE) on a geometry-optimized ThZn6Au4 structure.

ΔE_f = -32.5 kJ per mole of atoms
Magnetic moment = 0.02 Bohr magnetons per cell
Crystal system = hexagonal
Calculated volume = 18.28 A^3/atom

a b c (Å): 7.398 7.398 4.243
angles (deg): 90.00 90.00 120.00
Sites, in units of the cell vectors:
Th 0.000 0.000 0.000
Zn 0.079 0.539 0.000
Zn 0.416 0.208 0.500
Zn 0.461 0.539 0.000
Zn 0.461 0.921 0.000
Zn 0.792 0.208 0.500
Zn 0.792 0.584 0.500
Au 0.194 0.387 0.500
Au 0.194 0.806 0.500
Au 0.613 0.806 0.500
Au 0.667 0.333 0.000

VASP calculation (PBE) on a geometry-optimized DyU3Cl4 structure.

Magnetic moment = 8.54 Bohr magnetons per cell
Crystal system = cubic
E_tot = -6.33 eV/atom
Calculated volume = 20.41 A^3/atom

a b c (Å): 5.466 5.466 5.466
angles (deg): 90.00 90.00 90.00
Sites, in units of the cell vectors:
Dy 0.000 0.000 0.000
U 0.000 0.500 0.500
U 0.500 0.000 0.500
U 0.500 0.500 0.000
Cl 0.000 0.000 0.500
Cl 0.000 0.500 0.000
Cl 0.500 0.000 0.000
Cl 0.500 0.500 0.500

VASP calculation (PBE) on a geometry-optimized MgCuGeOs structure.

Magnetic moment = 0.00 Bohr magnetons per cell
Crystal system = cubic
Calculated volume = 14.30 A^3/atom
Offset from the most stable computed form = 0 meV/atom

a b c (Å): 4.324 4.324 4.324
angles (deg): 60.00 60.00 60.00
Sites, in units of the cell vectors:
Mg 0.000 0.000 0.000
Cu 0.750 0.750 0.750
Ge 0.500 0.500 0.500
Os 0.250 0.250 0.250

VASP calculation (PBE) on a geometry-optimized GdYAl4Fe2 structure.

Magnetic moment = 2.17 Bohr magnetons per cell
Crystal system = orthorhombic
E_tot = -5.70 eV/atom
Calculated volume = 18.23 A^3/atom

a b c (Å): 7.030 5.508 5.508
angles (deg): 43.14 90.00 90.00
Sites, in units of the cell vectors:
Gd 0.000 0.000 0.000
Y 0.500 0.123 0.123
Al 0.194 0.719 0.719
Al 0.307 0.404 0.404
Al 0.693 0.404 0.404
Al 0.806 0.719 0.719
Fe 0.000 0.275 0.275
Fe 0.500 0.847 0.847

VASP calculation (PBE) on a geometry-optimized ErCuS2 structure.

Magnetic moment = 0.00 Bohr magnetons per cell
Crystal system = tetragonal
E_tot = -5.33 eV/atom
Calculated volume = 22.88 A^3/atom

a b c (Å): 7.060 7.060 7.060
angles (deg): 133.32 133.32 68.15
Sites, in units of the cell vectors:
Er 0.000 0.000 0.000
Er 0.750 0.250 0.500
Cu 0.250 0.750 0.500
Cu 0.500 0.500 0.000
S 0.161 0.125 0.536
S 0.375 0.839 0.964
S 0.589 0.625 0.464
S 0.875 0.411 0.036

VASP calculation (PBE) on a geometry-optimized Nb3SI6Cl structure.

Magnetic moment = 0.00 Bohr magnetons per cell
Crystal system = trigonal
E_tot = -4.82 eV/atom
Calculated volume = 31.79 A^3/atom

a b c (Å): 7.507 7.507 7.164
angles (deg): 90.00 90.00 120.00
Sites, in units of the cell vectors:
Nb 0.200 0.401 0.000
Nb 0.200 0.800 0.000
Nb 0.599 0.800 0.000
S 0.333 0.667 0.235
I 0.339 0.170 0.225
I 0.503 0.006 0.737
I 0.503 0.497 0.737
I 0.830 0.170 0.225
I 0.830 0.661 0.225
I 0.994 0.497 0.737
Cl 0.000 0.000 0.844

VASP calculation (PBE) on a geometry-optimized HfScOs structure.

ΔE_f = -26.5 kJ per mole of atoms
Magnetic moment = 0.00 Bohr magnetons per cell
Crystal system = cubic
Calculated volume = 21.31 A^3/atom
Offset from the most stable computed form = 0 meV/atom

a b c (Å): 4.488 4.488 4.488
angles (deg): 60.00 60.00 60.00
Sites, in units of the cell vectors:
Hf 0.000 0.000 0.000
Sc 0.500 0.500 0.500
Os 0.250 0.250 0.250

VASP calculation (PBE) on a geometry-optimized BaZn structure.

Crystal system = orthorhombic
E_tot = -1.66 eV/atom
Calculated volume = 36.03 A^3/atom

a b c (Å): 4.310 5.782 11.567
angles (deg): 90.00 90.00 90.00
Sites, in units of the cell vectors:
Ba 0.250 0.250 0.101
Ba 0.250 0.750 0.323
Ba 0.750 0.250 0.677
Ba 0.750 0.750 0.899
Zn 0.250 0.250 0.461
Zn 0.250 0.750 0.657
Zn 0.750 0.250 0.343
Zn 0.750 0.750 0.539